This record from Alexandria describes a relaxed IrCl crystal. The functional is GGA-PBEsol.

The calculation puts the energy at -10.9 eV/f.u. The crystal system is trigonal. The theoretical density comes out at 9912 kg/m3. The value obtained for the density of states at the Fermi level is 5.50 states/eV per cell. The energy above the most stable polymorph in this dataset comes out at 0 meV per atom.

The space group is P-3m1 (No. 164) and the conventional cell measures 3.3379, 3.3379 and 7.9053 Å, with angles of 90.00, 90.00 and 120.00 degrees. Symmetry generates all atoms from Ir at (0.3333, 0.6667, 0.0995) and Cl at (0.3333, 0.6667, 0.6896).